(1)
A plane-wave DFT calculation with GGA-PBE was carried out for MoOsRu4 after structural relaxation.

Geometry as POSCAR:
```
MoOsRu4
1.0
0.000 3.549 3.549
3.549 0.000 3.549
3.549 3.549 0.000
Ru Os Mo
4 1 1
direct
0.625 0.625 0.625
0.625 0.124 0.625
0.124 0.625 0.625
0.625 0.625 0.124
0.000 0.000 0.000
0.250 0.250 0.250
```

Calculated values
- calculated formation energy (eV/atom) = 0.50
- calculated total energy (eV/f.u.) = -56.134
- SG = F-43m
- distance to the lowest polymorph of the same formula (meV/atom) = 527
- magnetic moment (Bohr magnetons per cell) = 0.0

(2)
A plane-wave DFT calculation with GGA-PBE was carried out for Sc5HPb2 after structural relaxation.

Geometry as POSCAR:
```
Sc5HPb2
1.0
-3.453 -5.427 -0.371
4.163 -2.360 -4.314
1.987 2.185 5.537
Sc Pb H
5 2 1
direct
0.751 0.256 0.007
0.758 0.758 0.517
0.256 0.750 0.006
0.752 0.752 0.007
0.255 0.255 0.008
0.253 0.753 0.507
0.753 0.253 0.507
0.998 0.998 0.996
```

Calculated values
- calculated total energy (eV/f.u.) = -44.518
- SG = Fmm2
- magnetic moment (Bohr magnetons per cell) = 2.6

(3)
A plane-wave DFT calculation with GGA-PBE was carried out for ScSn2N after structural relaxation.

Geometry as POSCAR:
```
ScSn2N
1.0
-6.242 -2.900 -0.277
0.984 -1.482 -6.655
-1.249 -5.247 -2.581
Sc N Sn
2 2 4
direct
0.000 0.000 0.000
0.750 0.250 0.500
0.250 0.750 0.500
0.500 0.500 0.000
0.207 0.625 0.250
0.875 0.793 0.750
0.543 0.125 0.250
0.375 0.457 0.750
```

Calculated values
- calculated total energy (eV/f.u.) = -22.031
- SG = I-42d
- magnetic moment (Bohr magnetons per cell) = 0.0

(4)
A plane-wave DFT calculation with GGA-PBE was carried out for Pm9Sm2Dy after structural relaxation.

Geometry as POSCAR:
```
Pm9Sm2Dy
1.0
-2.772 -4.325 0.151
4.327 -2.767 0.191
-0.238 0.691 15.409
Pm Sm Dy
9 2 1
direct
0.500 0.000 0.500
0.500 0.500 0.667
0.000 0.500 0.834
0.500 0.500 0.000
0.500 0.000 0.834
0.500 0.500 0.333
0.000 0.500 0.500
0.500 0.000 0.166
0.000 0.500 0.166
0.000 0.000 0.333
0.000 0.000 0.667
0.000 0.000 0.000
```

Calculated values
- calculated formation energy (eV/atom) = 0.02
- calculated total energy (eV/f.u.) = -56.604
- SG = P4/mmm
- magnetic moment (Bohr magnetons per cell) = 0.0

(5)
A plane-wave DFT calculation with GGA-PBE was carried out for ZrAlSi after structural relaxation.

Geometry as POSCAR:
```
ZrAlSi
1.0
-3.569 -1.973 -4.851
-1.257 -7.710 4.059
-3.990 -4.551 4.785
Al Si Zr
4 4 4
direct
0.948 0.000 0.840
0.052 0.000 0.160
0.948 0.500 0.160
0.052 0.500 0.840
0.547 0.500 0.156
0.453 0.500 0.844
0.453 0.000 0.156
0.547 0.000 0.844
0.262 0.500 0.436
0.262 0.000 0.564
0.738 0.000 0.436
0.738 0.500 0.564
```

Calculated values
- calculated total energy (eV/f.u.) = -19.148
- SG = Pmna
- magnetic moment (Bohr magnetons per cell) = 0.0

(6)
A plane-wave DFT calculation with GGA-PBE was carried out for DyZr2As3 after structural relaxation.

Geometry as POSCAR:
```
DyZr2As3
1.0
-2.508 2.358 -1.938
-2.467 -3.042 -0.516
-1.324 2.210 8.433
Dy As Zr
1 3 2
direct
0.434 0.436 0.874
0.605 0.606 0.215
0.264 0.265 0.533
0.934 0.936 0.874
0.100 0.101 0.205
0.769 0.770 0.543
```

Calculated values
- calculated formation energy (eV/atom) = -1.21
- calculated total energy (eV/f.u.) = -42.911
- SG = I4/mmm
- magnetic moment (Bohr magnetons per cell) = 0.0

(7)
A plane-wave DFT calculation with GGA-PBE was carried out for CeFe3Si3 after structural relaxation.

Geometry as POSCAR:
```
CeFe3Si3
1.0
-2.548 -2.742 1.555
2.112 -5.157 -5.630
3.956 0.215 6.860
Fe Si Ce
6 6 2
direct
0.750 0.048 0.842
0.250 0.952 0.158
0.250 0.206 0.048
0.250 0.842 0.794
0.750 0.158 0.206
0.750 0.794 0.952
0.250 0.081 0.708
0.250 0.292 0.373
0.750 0.708 0.627
0.250 0.627 0.919
0.750 0.919 0.292
0.750 0.373 0.081
0.750 0.333 0.667
0.250 0.667 0.333
```

Calculated values
- calculated total energy (eV/f.u.) = -49.586
- SG = P6_3/m
- distance to the lowest polymorph of the same formula (meV/atom) = 0
- magnetic moment (Bohr magnetons per cell) = 4.8

(8)
A plane-wave DFT calculation with GGA-PBE was carried out for KAsH3 after structural relaxation.

Geometry as POSCAR:
```
KAsH3
1.0
-0.982 -4.252 0.636
2.993 -3.112 -0.896
2.686 -2.098 5.407
H As K
3 1 1
direct
0.178 0.664 0.980
0.178 0.178 0.980
0.664 0.178 0.980
0.955 0.955 0.136
0.150 0.150 0.549
```

Calculated values
- calculated total energy (eV/f.u.) = -15.266
- SG = R3m
- distance to the lowest polymorph of the same formula (meV/atom) = 4
- magnetic moment (Bohr magnetons per cell) = 0.4

(9)
A plane-wave DFT calculation with GGA-PBE was carried out for MnTcIr2 after structural relaxation.

Geometry as POSCAR:
```
MnTcIr2
1.0
-1.811 4.389 2.376
-1.925 -0.129 4.946
4.062 -0.777 -3.329
Ir Mn Tc
2 1 1
direct
0.003 0.003 0.000
0.720 0.220 0.500
0.497 0.497 0.000
0.280 0.780 0.500
```

Calculated values
- calculated formation energy (eV/atom) = 0.08
- calculated total energy (eV/f.u.) = -36.919
- SG = Imm2
- distance to the lowest polymorph of the same formula (meV/atom) = 264
- magnetic moment (Bohr magnetons per cell) = 2.6

(10)
A plane-wave DFT calculation with GGA-PBE was carried out for KHg2Au5 after structural relaxation.

Geometry as POSCAR:
```
KHg2Au5
1.0
4.212 0.000 0.000
2.106 6.985 0.854
2.106 2.122 6.709
Hg Au K
2 5 1
direct
0.744 0.756 0.756
0.256 0.244 0.244
0.000 0.500 0.500
0.621 0.189 0.568
0.621 0.568 0.189
0.379 0.432 0.811
0.379 0.811 0.432
0.000 0.000 0.000
```

Calculated values
- calculated formation energy (eV/atom) = -0.03
- calculated total energy (eV/f.u.) = -18.367
- SG = Immm
- magnetic moment (Bohr magnetons per cell) = 0.0

(11)
A plane-wave DFT calculation with GGA-PBE was carried out for CaZn2PdCl after structural relaxation.

Geometry as POSCAR:
```
CaZn2PdCl
1.0
-4.469 -1.652 -0.543
1.957 -5.311 0.056
-0.526 -0.143 4.764
Pd Ca Zn Cl
1 1 2 1
direct
0.000 0.000 0.000
0.000 0.500 0.000
0.000 0.000 0.500
0.500 0.000 0.000
0.500 0.500 0.500
```

Calculated values
- calculated total energy (eV/f.u.) = -14.500
- SG = P4/mmm
- magnetic moment (Bohr magnetons per cell) = 0.0

(12)
A plane-wave DFT calculation with GGA-PBE was carried out for Co2HgRh after structural relaxation.

Geometry as POSCAR:
```
Co2HgRh
1.0
4.352 0.000 0.000
2.176 3.769 0.000
2.176 1.256 3.553
Hg Co Rh
1 2 1
direct
0.500 0.500 0.500
0.250 0.250 0.250
0.000 0.000 0.000
0.750 0.750 0.750
```

Calculated values
- calculated formation energy (eV/atom) = 0.39
- calculated total energy (eV/f.u.) = -20.300
- SG = F-43m
- magnetic moment (Bohr magnetons per cell) = 4.1

(13)
A plane-wave DFT calculation with GGA-PBE was carried out for CePuPaGe after structural relaxation.

Geometry as POSCAR:
```
CePuPaGe
1.0
5.069 0.000 0.000
2.534 4.390 0.000
2.534 1.463 4.139
Ge Ce Pa Pu
1 1 1 1
direct
0.250 0.250 0.250
0.500 0.500 0.500
0.750 0.750 0.750
0.000 0.000 0.000
```

Calculated values
- calculated formation energy (eV/atom) = -0.07
- calculated total energy (eV/f.u.) = -34.677
- SG = F-43m
- distance to the lowest polymorph of the same formula (meV/atom) = 225
- magnetic moment (Bohr magnetons per cell) = 6.9

(14)
A plane-wave DFT calculation with GGA-PBE was carried out for Yb3Co after structural relaxation.

Geometry as POSCAR:
```
Yb3Co
1.0
6.174 0.000 0.000
0.000 7.364 0.000
0.000 0.000 9.165
Co Yb
4 12
direct
0.449 0.378 0.250
0.949 0.122 0.750
0.551 0.622 0.750
0.051 0.878 0.250
0.344 0.672 0.435
0.844 0.828 0.565
0.636 0.038 0.250
0.344 0.672 0.065
0.364 0.962 0.750
0.844 0.828 0.935
0.156 0.172 0.435
0.156 0.172 0.065
0.864 0.538 0.250
0.136 0.462 0.750
0.656 0.328 0.935
0.656 0.328 0.565
```

Calculated values
- calculated formation energy (eV/atom) = -0.07
- calculated total energy (eV/f.u.) = -11.963
- SG = Pnma
- magnetic moment (Bohr magnetons per cell) = 3.1

(15)
A plane-wave DFT calculation with GGA-PBE was carried out for Tb2Tm5Sc5 after structural relaxation.

Geometry as POSCAR:
```
Tb2Tm5Sc5
1.0
5.225 0.000 1.116
2.388 5.643 1.608
0.291 0.041 11.422
Tm Sc Tb
5 5 2
direct
0.209 0.128 0.454
0.000 0.000 0.000
0.254 0.738 0.755
0.746 0.262 0.245
0.791 0.872 0.546
0.707 0.626 0.959
0.542 0.118 0.799
0.293 0.374 0.041
0.458 0.882 0.201
0.500 0.500 0.500
0.963 0.362 0.712
0.037 0.638 0.288
```

Calculated values
- calculated formation energy (eV/atom) = 0.08
- calculated total energy (eV/f.u.) = -62.333
- SG = C2/m
- distance to the lowest polymorph of the same formula (meV/atom) = 28
- magnetic moment (Bohr magnetons per cell) = 0.0

(16)
A plane-wave DFT calculation with GGA-PBE was carried out for Pm2ScAl after structural relaxation.

Geometry as POSCAR:
```
Pm2ScAl
1.0
5.332 0.000 0.000
2.666 4.617 0.000
2.666 1.539 4.353
Pm Al Sc
2 1 1
direct
0.250 0.250 0.250
0.750 0.750 0.750
0.000 0.000 0.000
0.500 0.500 0.500
```

Calculated values
- calculated formation energy (eV/atom) = -0.10
- calculated total energy (eV/f.u.) = -19.960
- SG = Fm-3m
- distance to the lowest polymorph of the same formula (meV/atom) = 87
- magnetic moment (Bohr magnetons per cell) = 0.0

(17)
A plane-wave DFT calculation with GGA-PBE was carried out for InH2Rh after structural relaxation.

Geometry as POSCAR:
```
InH2Rh
1.0
3.033 0.004 -0.925
-0.281 3.020 -0.925
-0.120 -0.132 5.051
Rh In H
1 1 2
direct
0.617 0.117 0.235
0.311 0.811 0.621
0.036 0.036 0.072
0.536 0.536 0.072
```

Calculated values
- calculated total energy (eV/f.u.) = -17.405
- SG = I4mm
- distance to the lowest polymorph of the same formula (meV/atom) = 0
- magnetic moment (Bohr magnetons per cell) = 0.0

(18)
A plane-wave DFT calculation with GGA-PBE was carried out for ScNb3Se after structural relaxation.

Geometry as POSCAR:
```
ScNb3Se
1.0
-0.642 4.738 0.247
0.127 -0.232 4.780
4.742 0.648 -0.095
Nb Se Sc
3 1 1
direct
0.500 0.000 0.000
0.000 0.000 0.500
0.000 0.500 0.000
0.000 0.000 0.000
0.500 0.500 0.500
```

Calculated values
- calculated total energy (eV/f.u.) = -38.167
- SG = Pm-3m
- distance to the lowest polymorph of the same formula (meV/atom) = 0
- magnetic moment (Bohr magnetons per cell) = 0.0

(19)
A plane-wave DFT calculation with GGA-PBE was carried out for Tb8Ce after structural relaxation.

Geometry as POSCAR:
```
Tb8Ce
1.0
3.570 0.000 0.825
1.785 8.870 0.412
-0.211 0.000 9.055
Tb Ce
8 1
direct
0.000 0.334 0.666
0.334 0.666 0.666
0.667 0.000 0.667
0.666 0.334 0.334
0.333 0.333 0.000
0.000 0.666 0.334
0.333 0.000 0.333
0.667 0.667 0.000
0.000 0.000 0.000
```

Calculated values
- calculated formation energy (eV/atom) = 0.14
- calculated total energy (eV/f.u.) = -41.682
- SG = I4/mmm
- distance to the lowest polymorph of the same formula (meV/atom) = 104
- magnetic moment (Bohr magnetons per cell) = 1.6

(20)
A plane-wave DFT calculation with GGA-PBE was carried out for Na12AgHg3 after structural relaxation.

Geometry as POSCAR:
```
Na12AgHg3
1.0
4.928 0.000 0.000
0.000 4.928 0.000
0.000 0.000 18.851
Na Hg Ag
12 3 1
direct
0.500 0.500 0.246
0.500 0.000 0.120
0.000 0.500 0.120
0.500 0.000 0.627
0.500 0.000 0.373
0.000 0.500 0.880
0.500 0.500 0.000
0.500 0.000 0.880
0.000 0.500 0.373
0.500 0.500 0.754
0.000 0.500 0.627
0.500 0.500 0.500
0.000 0.000 0.500
0.000 0.000 0.249
0.000 0.000 0.751
0.000 0.000 0.000
```

Calculated values
- calculated formation energy (eV/atom) = -0.10
- calculated total energy (eV/f.u.) = -21.164
- SG = P4/mmm
- magnetic moment (Bohr magnetons per cell) = 0.0

(21)
A plane-wave DFT calculation with GGA-PBE was carried out for K4Np3PaO12 after structural relaxation.

Geometry as POSCAR:
```
K4Np3PaO12
1.0
7.481 0.000 0.000
-2.494 7.053 0.000
-2.494 -3.527 6.108
O K Np Pa
12 4 3 1
direct
0.748 0.000 0.748
0.252 0.000 0.252
0.252 0.252 0.000
0.000 0.252 0.252
0.500 0.250 0.750
0.750 0.250 0.500
0.250 0.500 0.750
0.750 0.500 0.250
0.000 0.748 0.748
0.250 0.750 0.500
0.500 0.750 0.250
0.748 0.748 0.000
0.500 0.500 0.500
0.000 0.000 0.500
0.000 0.500 0.000
0.500 0.000 0.000
0.000 0.500 0.500
0.500 0.500 0.000
0.500 0.000 0.500
0.000 0.000 0.000
```

Calculated values
- calculated total energy (eV/f.u.) = -168.186
- SG = Im-3m
- magnetic moment (Bohr magnetons per cell) = 6.0

(22)
A plane-wave DFT calculation with GGA-PBE was carried out for PmY7Sc2 after structural relaxation.

Geometry as POSCAR:
```
PmY7Sc2
1.0
5.431 2.676 -0.690
4.180 9.284 -2.750
-1.438 0.279 7.724
Y Pm Sc
7 1 2
direct
0.901 0.298 0.402
0.805 0.598 0.793
0.500 0.500 0.000
0.099 0.702 0.598
0.301 0.098 0.795
0.195 0.402 0.207
0.699 0.902 0.205
0.000 0.000 0.000
0.392 0.803 0.400
0.608 0.197 0.600
```

Calculated values
- calculated formation energy (eV/atom) = 0.04
- calculated total energy (eV/f.u.) = -62.217
- SG = P-1
- magnetic moment (Bohr magnetons per cell) = 0.0

(23)
A plane-wave DFT calculation with GGA-PBE was carried out for Sm3ErCu4 after structural relaxation.

Geometry as POSCAR:
```
Sm3ErCu4
1.0
-2.905 -1.665 1.052
1.443 -0.523 3.157
-5.390 12.242 4.493
Er Cu Sm
1 4 3
direct
0.500 0.500 0.000
0.000 0.000 0.626
0.000 0.000 0.115
0.000 0.000 0.374
0.000 0.000 0.885
0.500 0.500 0.246
0.500 0.500 0.500
0.500 0.500 0.754
```

Calculated values
- calculated formation energy (eV/atom) = -0.21
- calculated total energy (eV/f.u.) = -36.747
- SG = P4/mmm
- magnetic moment (Bohr magnetons per cell) = 0.0